(1)
# K2Zr (PBE-GGA, relaxed)
data_K2Zr
_cell_length_a 6.934
_cell_length_b 6.934
_cell_length_c 6.934
_cell_angle_alpha 154.63
_cell_angle_beta 122.45
_cell_angle_gamma 63.89
_symmetry_space_group_name_H-M 'P 1'
_symmetry_Int_Tables_number 1
loop_
_symmetry_equiv_pos_as_xyz
'x,y,z'
loop_
_atom_site_label
_atom_site_fract_x
_atom_site_fract_y
_atom_site_fract_z
K1 0.166 0.166 0.000
K2 0.834 0.834 0.000
Zr1 0.500 0.500 0.000
# - total energy (eV per cell) = -7.713
# - distance to the lowest polymorph of the same formula (meV per atom) = 552
# - E_form (eV per atom) = 1.010

(2)
# KZr4 (PBE-GGA, relaxed)
data_KZr4
_cell_length_a 5.661
_cell_length_b 5.661
_cell_length_c 5.661
_cell_angle_alpha 109.47
_cell_angle_beta 109.47
_cell_angle_gamma 109.47
_symmetry_space_group_name_H-M 'P 1'
_symmetry_Int_Tables_number 1
loop_
_symmetry_equiv_pos_as_xyz
'x,y,z'
loop_
_atom_site_label
_atom_site_fract_x
_atom_site_fract_y
_atom_site_fract_z
K1 0.000 0.000 0.000
Zr1 0.000 0.000 0.500
Zr2 0.000 0.500 0.000
Zr3 0.500 0.000 0.000
Zr4 0.500 0.500 0.500
# - total energy (eV per cell) = -25.884
# - distance to the lowest polymorph of the same formula (meV per atom) = 113
# - E_form (eV per atom) = 1.881

(3)
# K2Zr (PBE-GGA, relaxed)
data_K2Zr
_cell_length_a 10.852
_cell_length_b 10.852
_cell_length_c 10.852
_cell_angle_alpha 161.91
_cell_angle_beta 161.91
_cell_angle_gamma 25.70
_symmetry_space_group_name_H-M 'P 1'
_symmetry_Int_Tables_number 1
loop_
_symmetry_equiv_pos_as_xyz
'x,y,z'
loop_
_atom_site_label
_atom_site_fract_x
_atom_site_fract_y
_atom_site_fract_z
K1 0.148 0.148 0.000
K2 0.852 0.852 0.000
Zr1 0.500 0.500 0.000
# - total energy (eV per cell) = -8.151
# - distance to the lowest polymorph of the same formula (meV per atom) = 406
# - E_form (eV per atom) = 0.864

(4)
# KZr (PBE-GGA, relaxed)
data_KZr
_cell_length_a 14.067
_cell_length_b 14.067
_cell_length_c 3.286
_cell_angle_alpha 90.00
_cell_angle_beta 90.00
_cell_angle_gamma 90.00
_symmetry_space_group_name_H-M 'P 1'
_symmetry_Int_Tables_number 1
loop_
_symmetry_equiv_pos_as_xyz
'x,y,z'
loop_
_atom_site_label
_atom_site_fract_x
_atom_site_fract_y
_atom_site_fract_z
K1 0.100 0.386 0.000
K2 0.314 0.607 0.500
K3 0.386 0.900 0.000
K4 0.393 0.314 0.500
K5 0.607 0.686 0.500
K6 0.614 0.100 0.000
K7 0.686 0.393 0.500
K8 0.900 0.614 0.000
Zr1 0.048 0.143 0.000
Zr2 0.113 0.772 0.500
Zr3 0.143 0.952 0.000
Zr4 0.228 0.113 0.500
Zr5 0.772 0.887 0.500
Zr6 0.857 0.048 0.000
Zr7 0.887 0.228 0.500
Zr8 0.952 0.857 0.000
# - total energy (eV per cell) = -68.370
# - distance to the lowest polymorph of the same formula (meV per atom) = 108
# - E_form (eV per atom) = 0.550

(5)
# KZr3 (PBE-GGA, relaxed)
data_KZr3
_cell_length_a 12.150
_cell_length_b 12.150
_cell_length_c 12.150
_cell_angle_alpha 15.41
_cell_angle_beta 15.41
_cell_angle_gamma 15.41
_symmetry_space_group_name_H-M 'P 1'
_symmetry_Int_Tables_number 1
loop_
_symmetry_equiv_pos_as_xyz
'x,y,z'
loop_
_atom_site_label
_atom_site_fract_x
_atom_site_fract_y
_atom_site_fract_z
K1 0.000 0.000 0.000
Zr1 0.237 0.237 0.237
Zr2 0.500 0.500 0.500
Zr3 0.763 0.763 0.763
# - total energy (eV per cell) = -25.144
# - E_form (eV per atom) = 0.399

(6)
# K2Zr (PBE-GGA, relaxed)
data_K2Zr
_cell_length_a 8.983
_cell_length_b 8.983
_cell_length_c 8.983
_cell_angle_alpha 90.00
_cell_angle_beta 90.00
_cell_angle_gamma 90.00
_symmetry_space_group_name_H-M 'P 1'
_symmetry_Int_Tables_number 1
loop_
_symmetry_equiv_pos_as_xyz
'x,y,z'
loop_
_atom_site_label
_atom_site_fract_x
_atom_site_fract_y
_atom_site_fract_z
K1 0.143 0.143 0.143
K2 0.143 0.357 0.643
K3 0.357 0.643 0.143
K4 0.357 0.857 0.643
K5 0.643 0.143 0.357
K6 0.643 0.357 0.857
K7 0.857 0.643 0.357
K8 0.857 0.857 0.857
Zr1 0.000 0.000 0.500
Zr2 0.000 0.500 0.000
Zr3 0.500 0.000 0.000
Zr4 0.500 0.500 0.500
# - total energy (eV per cell) = -24.806
# - distance to the lowest polymorph of the same formula (meV per atom) = 1056
# - E_form (eV per atom) = 1.514

(7)
# KZr3 (PBE-GGA, relaxed)
data_KZr3
_cell_length_a 6.919
_cell_length_b 6.919
_cell_length_c 5.326
_cell_angle_alpha 90.00
_cell_angle_beta 90.00
_cell_angle_gamma 120.00
_symmetry_space_group_name_H-M 'P 1'
_symmetry_Int_Tables_number 1
loop_
_symmetry_equiv_pos_as_xyz
'x,y,z'
loop_
_atom_site_label
_atom_site_fract_x
_atom_site_fract_y
_atom_site_fract_z
K1 0.333 0.667 0.250
K2 0.667 0.333 0.750
Zr1 0.148 0.297 0.750
Zr2 0.148 0.852 0.750
Zr3 0.297 0.148 0.250
Zr4 0.703 0.852 0.750
Zr5 0.852 0.148 0.250
Zr6 0.852 0.703 0.250
# - total energy (eV per cell) = -46.658
# - E_form (eV per atom) = 0.853

(8)
# KZr3 (PBE-GGA, relaxed)
data_KZr3
_cell_length_a 3.217
_cell_length_b 3.216
_cell_length_c 11.341
_cell_angle_alpha 90.00
_cell_angle_beta 90.08
_cell_angle_gamma 90.00
_symmetry_space_group_name_H-M 'P 1'
_symmetry_Int_Tables_number 1
loop_
_symmetry_equiv_pos_as_xyz
'x,y,z'
loop_
_atom_site_label
_atom_site_fract_x
_atom_site_fract_y
_atom_site_fract_z
K1 0.000 0.000 0.000
Zr1 0.000 0.000 0.500
Zr2 0.499 0.500 0.310
Zr3 0.501 0.500 0.690
# - total energy (eV per cell) = -25.285
# - E_form (eV per atom) = 0.364

Repeat the third record exactly.
# K2Zr (PBE-GGA, relaxed)
data_K2Zr
_cell_length_a 10.852
_cell_length_b 10.852
_cell_length_c 10.852
_cell_angle_alpha 161.91
_cell_angle_beta 161.91
_cell_angle_gamma 25.70
_symmetry_space_group_name_H-M 'P 1'
_symmetry_Int_Tables_number 1
loop_
_symmetry_equiv_pos_as_xyz
'x,y,z'
loop_
_atom_site_label
_atom_site_fract_x
_atom_site_fract_y
_atom_site_fract_z
K1 0.148 0.148 0.000
K2 0.852 0.852 0.000
Zr1 0.500 0.500 0.000
# - total energy (eV per cell) = -8.151
# - distance to the lowest polymorph of the same formula (meV per atom) = 406
# - E_form (eV per atom) = 0.864

Question: Look up the E_form of the first one.
Answer: 1.010 eV per atom